A relaxed structure of HfBeN3. Source: OQMD via LeMat-Bulk, functional PBE-GGA.

* symmetry: R-3c (167)
* VASP energy: -77.830 eV per cell

a b c (Å): 5.930 5.930 5.930
angles (deg): 50.84 50.84 50.84
Fractional positions:
Hf: 0.000 0.000 0.000
Hf: 0.500 0.500 0.500
Be: 0.250 0.250 0.250
Be: 0.750 0.750 0.750
N: 0.070 0.750 0.430
N: 0.250 0.570 0.930
N: 0.430 0.070 0.750
N: 0.570 0.930 0.250
N: 0.750 0.430 0.070
N: 0.930 0.250 0.570


A relaxed structure of NaHfBeSe3. Source: OQMD via LeMat-Bulk, functional PBE-GGA.

* symmetry: Cmcm (63)
* VASP energy: -62.898 eV per cell

a b c (Å): 7.255 7.255 10.151
angles (deg): 90.00 90.00 150.81
Fractional positions:
Na: 0.248 0.752 0.750
Na: 0.752 0.248 0.250
Hf: 0.000 0.000 0.000
Hf: 0.000 0.000 0.500
Be: 0.465 0.535 0.250
Be: 0.535 0.465 0.750
Se: 0.067 0.933 0.250
Se: 0.368 0.632 0.073
Se: 0.368 0.632 0.427
Se: 0.632 0.368 0.573
Se: 0.632 0.368 0.927
Se: 0.933 0.067 0.750


A relaxed structure of Hf2BeNb. Source: OQMD via LeMat-Bulk, functional PBE-GGA.

* symmetry: F-43m (216)
* VASP energy: -130.260 eV per cell

a b c (Å): 6.580 6.580 6.580
angles (deg): 90.00 90.00 90.00
Fractional positions:
Hf: 0.000 0.000 0.000
Hf: 0.000 0.500 0.500
Hf: 0.250 0.250 0.250
Hf: 0.250 0.750 0.750
Hf: 0.500 0.000 0.500
Hf: 0.500 0.500 0.000
Hf: 0.750 0.250 0.750
Hf: 0.750 0.750 0.250
Be: 0.000 0.000 0.500
Be: 0.000 0.500 0.000
Be: 0.500 0.000 0.000
Be: 0.500 0.500 0.500
Nb: 0.250 0.250 0.750
Nb: 0.250 0.750 0.250
Nb: 0.750 0.250 0.250
Nb: 0.750 0.750 0.750


A relaxed structure of HfBe2Ni. Source: OQMD via LeMat-Bulk, functional PBE-GGA.

* symmetry: F-43m (216)
* VASP energy: -95.214 eV per cell

a b c (Å): 5.821 5.821 5.821
angles (deg): 90.00 90.00 90.00
Fractional positions:
Hf: 0.000 0.000 0.000
Hf: 0.000 0.500 0.500
Hf: 0.500 0.000 0.500
Hf: 0.500 0.500 0.000
Be: 0.000 0.000 0.500
Be: 0.000 0.500 0.000
Be: 0.250 0.250 0.250
Be: 0.250 0.750 0.750
Be: 0.500 0.000 0.000
Be: 0.500 0.500 0.500
Be: 0.750 0.250 0.750
Be: 0.750 0.750 0.250
Ni: 0.250 0.250 0.750
Ni: 0.250 0.750 0.250
Ni: 0.750 0.250 0.250
Ni: 0.750 0.750 0.750


A relaxed structure of Hf2Be15Ni2. Source: OQMD via LeMat-Bulk, functional PBE-GGA.

* symmetry: R-3m (166)
* VASP energy: -92.693 eV per cell

a b c (Å): 5.698 5.698 5.698
angles (deg): 82.87 82.87 82.87
Fractional positions:
Hf: 0.157 0.157 0.157
Hf: 0.843 0.843 0.843
Be: 0.000 0.500 0.500
Be: 0.158 0.158 0.658
Be: 0.158 0.658 0.158
Be: 0.217 0.500 0.783
Be: 0.217 0.783 0.500
Be: 0.342 0.842 0.842
Be: 0.500 0.000 0.500
Be: 0.500 0.217 0.783
Be: 0.500 0.500 0.000
Be: 0.500 0.783 0.217
Be: 0.658 0.158 0.158
Be: 0.783 0.217 0.500
Be: 0.783 0.500 0.217
Be: 0.842 0.342 0.842
Be: 0.842 0.842 0.342
Ni: 0.394 0.394 0.394
Ni: 0.606 0.606 0.606


A relaxed structure of HfBeNi. Source: OQMD via LeMat-Bulk, functional PBE-GGA.

* symmetry: F-43m (216)
* ΔE to the lowest computed polymorph: 0.000 eV/atom

a b c (Å): 5.708 5.708 5.708
angles (deg): 90.00 90.00 90.00
Fractional positions:
Hf: 0.000 0.000 0.000
Hf: 0.000 0.500 0.500
Hf: 0.500 0.000 0.500
Hf: 0.500 0.500 0.000
Be: 0.000 0.000 0.500
Be: 0.000 0.500 0.000
Be: 0.500 0.000 0.000
Be: 0.500 0.500 0.500
Ni: 0.250 0.250 0.750
Ni: 0.250 0.750 0.250
Ni: 0.750 0.250 0.250
Ni: 0.750 0.750 0.750


A relaxed structure of Hf2Be2Ni3. Source: OQMD via LeMat-Bulk, functional PBE-GGA.

* symmetry: R3m (160)
* VASP energy: -46.023 eV per cell

a b c (Å): 6.936 6.936 6.936
angles (deg): 34.61 34.61 34.61
Fractional positions:
Hf: 0.000 0.000 0.000
Hf: 0.483 0.483 0.483
Be: 0.239 0.239 0.239
Be: 0.738 0.738 0.738
Ni: 0.357 0.357 0.357
Ni: 0.613 0.613 0.613
Ni: 0.869 0.869 0.869


A relaxed structure of HfBeNi. Source: OQMD via LeMat-Bulk, functional PBE-GGA.

* symmetry: F-43m (216)
* ΔE to the lowest computed polymorph: 0.580 eV/atom

a b c (Å): 5.846 5.846 5.846
angles (deg): 90.00 90.00 90.00
Fractional positions:
Hf: 0.000 0.000 0.000
Hf: 0.000 0.500 0.500
Hf: 0.500 0.000 0.500
Hf: 0.500 0.500 0.000
Be: 0.250 0.250 0.750
Be: 0.250 0.750 0.250
Be: 0.750 0.250 0.250
Be: 0.750 0.750 0.750
Ni: 0.250 0.250 0.250
Ni: 0.250 0.750 0.750
Ni: 0.750 0.250 0.750
Ni: 0.750 0.750 0.250


A relaxed structure of HfBeNiPb. Source: OQMD via LeMat-Bulk, functional PBE-GGA.

* symmetry: F-43m (216)
* ΔE to the lowest computed polymorph: 0.217 eV/atom

a b c (Å): 6.477 6.477 6.477
angles (deg): 90.00 90.00 90.00
Fractional positions:
Hf: 0.000 0.000 0.000
Hf: 0.000 0.500 0.500
Hf: 0.500 0.000 0.500
Hf: 0.500 0.500 0.000
Be: 0.250 0.250 0.750
Be: 0.250 0.750 0.250
Be: 0.750 0.250 0.250
Be: 0.750 0.750 0.750
Ni: 0.000 0.000 0.500
Ni: 0.000 0.500 0.000
Ni: 0.500 0.000 0.000
Ni: 0.500 0.500 0.500
Pb: 0.250 0.250 0.250
Pb: 0.250 0.750 0.750
Pb: 0.750 0.250 0.750
Pb: 0.750 0.750 0.250


A relaxed structure of HfBeNiPb. Source: OQMD via LeMat-Bulk, functional PBE-GGA.

* symmetry: F-43m (216)
* ΔE to the lowest computed polymorph: 0.000 eV/atom

a b c (Å): 6.385 6.385 6.385
angles (deg): 90.00 90.00 90.00
Fractional positions:
Hf: 0.000 0.000 0.000
Hf: 0.000 0.500 0.500
Hf: 0.500 0.000 0.500
Hf: 0.500 0.500 0.000
Be: 0.250 0.250 0.250
Be: 0.250 0.750 0.750
Be: 0.750 0.250 0.750
Be: 0.750 0.750 0.250
Ni: 0.250 0.250 0.750
Ni: 0.250 0.750 0.250
Ni: 0.750 0.250 0.250
Ni: 0.750 0.750 0.750
Pb: 0.000 0.000 0.500
Pb: 0.000 0.500 0.000
Pb: 0.500 0.000 0.000
Pb: 0.500 0.500 0.500


A relaxed structure of HfBeNiSb. Source: OQMD via LeMat-Bulk, functional PBE-GGA.

* symmetry: F-43m (216)
* ΔE to the lowest computed polymorph: 0.125 eV/atom

a b c (Å): 6.394 6.394 6.394
angles (deg): 90.00 90.00 90.00
Fractional positions:
Hf: 0.000 0.000 0.000
Hf: 0.000 0.500 0.500
Hf: 0.500 0.000 0.500
Hf: 0.500 0.500 0.000
Be: 0.250 0.250 0.750
Be: 0.250 0.750 0.250
Be: 0.750 0.250 0.250
Be: 0.750 0.750 0.750
Ni: 0.000 0.000 0.500
Ni: 0.000 0.500 0.000
Ni: 0.500 0.000 0.000
Ni: 0.500 0.500 0.500
Sb: 0.250 0.250 0.250
Sb: 0.250 0.750 0.750
Sb: 0.750 0.250 0.750
Sb: 0.750 0.750 0.250


A relaxed structure of HfBeNiSb. Source: OQMD via LeMat-Bulk, functional PBE-GGA.

* symmetry: F-43m (216)
* ΔE to the lowest computed polymorph: 0.000 eV/atom

a b c (Å): 6.331 6.331 6.331
angles (deg): 90.00 90.00 90.00
Fractional positions:
Hf: 0.000 0.000 0.000
Hf: 0.000 0.500 0.500
Hf: 0.500 0.000 0.500
Hf: 0.500 0.500 0.000
Be: 0.250 0.250 0.250
Be: 0.250 0.750 0.750
Be: 0.750 0.250 0.750
Be: 0.750 0.750 0.250
Ni: 0.250 0.250 0.750
Ni: 0.250 0.750 0.250
Ni: 0.750 0.250 0.250
Ni: 0.750 0.750 0.750
Sb: 0.000 0.000 0.500
Sb: 0.000 0.500 0.000
Sb: 0.500 0.000 0.000
Sb: 0.500 0.500 0.500


Calculated values (A^3/atom) of V for the records, taken in order: 11.56 21.71 17.81 12.33 9.53 15.50 13.72 16.65 16.98 16.27 16.34 15.86.